Density functional theory data (PBE-GGA) for crystalline Co3IrPt4 at its relaxed geometry.

Calculated values
As for the spin magnetization: 0.9711 μB/atom. For the volume, the calculation gives 14.02 A^3/atom. The energy is -6.832 eV per atom. The value obtained for the formation energy is -0.040 eV/atom. The space-group type is Pmma.

Cell lengths 8.8441, 5.4036, 4.6934 Å; angles 90.00, 90.00, 90.00 degrees
Last column: nearest neighbours and their distance in Å.
Atoms (fractional coordinates):
Co 0.0000 0.0000 0.0000  8 Pt 2.69-2.70, 2 Co 2.70, 2 Ir 2.70
Co 0.2500 0.0000 0.3295  8 Pt 2.66-2.75, 4 Co 2.70
Co 0.2500 0.5000 0.3287  8 Pt 2.66-2.76, 2 Ir 2.70, 2 Co 2.70
Co 0.5000 0.0000 0.0000  8 Pt 2.69-2.70, 2 Co 2.70, 2 Ir 2.70
Co 0.7500 0.0000 0.6705  8 Pt 2.66-2.75, 4 Co 2.70
Co 0.7500 0.5000 0.6713  8 Pt 2.66-2.76, 2 Ir 2.70, 2 Co 2.70
Ir 0.0000 0.5000 0.0000  4 Co 2.70, 8 Pt 2.70-2.72
Ir 0.5000 0.5000 0.0000  4 Co 2.70, 8 Pt 2.70-2.72
Pt 0.0000 0.2467 0.5000  4 Pt 2.67-2.74, 6 Co 2.70-2.72, 2 Ir 2.72
Pt 0.0000 0.7533 0.5000  4 Pt 2.67-2.74, 6 Co 2.70-2.72, 2 Ir 2.72
Pt 0.2500 0.2487 0.8403  6 Co 2.66-2.76, 4 Pt 2.69-2.73, 2 Ir 2.70
Pt 0.2500 0.7513 0.8403  6 Co 2.66-2.76, 4 Pt 2.69-2.73, 2 Ir 2.70
Pt 0.5000 0.2467 0.5000  4 Pt 2.67-2.74, 6 Co 2.70-2.72, 2 Ir 2.72
Pt 0.5000 0.7533 0.5000  4 Pt 2.67-2.74, 6 Co 2.70-2.72, 2 Ir 2.72
Pt 0.7500 0.2487 0.1597  6 Co 2.66-2.76, 4 Pt 2.69-2.73, 2 Ir 2.70
Pt 0.7500 0.7513 0.1597  6 Co 2.66-2.76, 4 Pt 2.69-2.73, 2 Ir 2.70